Run i
Compound: AcPrTlAu
Source: the Alexandria database
Functional: PBE
Structure: relaxed

Cell and atoms, written as CIF:
```
data_AcPrTlAu
_cell_length_a 5.5751
_cell_length_b 5.5751
_cell_length_c 5.5751
_cell_angle_alpha 60.00
_cell_angle_beta 60.00
_cell_angle_gamma 60.00
_space_group_name_H-M_alt 'P 1'
_space_group_IT_number 1
loop_
_space_group_symop_operation_xyz
'x,y,z'
loop_
_atom_site_label
_atom_site_type_symbol
_atom_site_fract_x
_atom_site_fract_y
_atom_site_fract_z
Pr1 Pr 0.2500 0.2500 0.2500
Ac1 Ac 0.7500 0.7500 0.7500
Au1 Au 0.0000 0.0000 0.0000
Tl1 Tl 0.5000 0.5000 0.5000
```

---

Run ii
Compound: AcPrTlAu
Source: the Alexandria database
Functional: PBE
Structure: relaxed

Cell and atoms, written as CIF:
```
data_AcPrTlAu
_cell_length_a 3.8543
_cell_length_b 3.8543
_cell_length_c 8.1834
_cell_angle_alpha 90.00
_cell_angle_beta 90.00
_cell_angle_gamma 90.00
_space_group_name_H-M_alt 'P 1'
_space_group_IT_number 1
loop_
_space_group_symop_operation_xyz
'x,y,z'
loop_
_atom_site_label
_atom_site_type_symbol
_atom_site_fract_x
_atom_site_fract_y
_atom_site_fract_z
Ac1 Ac 0.0000 0.0000 0.8363
Pr1 Pr 0.0000 0.0000 0.3796
Tl1 Tl 0.5000 0.5000 0.1227
Au1 Au 0.5000 0.5000 0.5894
```

---

Stability, highest: run ii

---

Run i
Compound: AcPrZnAu
Source: the Alexandria database
Functional: PBE
Structure: relaxed

Cell and atoms, written as CIF:
```
data_AcPrZnAu
_cell_length_a 5.4199
_cell_length_b 5.4199
_cell_length_c 5.4199
_cell_angle_alpha 60.00
_cell_angle_beta 60.00
_cell_angle_gamma 60.00
_space_group_name_H-M_alt 'P 1'
_space_group_IT_number 1
loop_
_space_group_symop_operation_xyz
'x,y,z'
loop_
_atom_site_label
_atom_site_type_symbol
_atom_site_fract_x
_atom_site_fract_y
_atom_site_fract_z
Pr1 Pr 0.7500 0.7500 0.7500
Ac1 Ac 0.2500 0.2500 0.2500
Au1 Au 0.5000 0.5000 0.5000
Zn1 Zn 0.0000 0.0000 0.0000
```

---

Run ii
Compound: AcPrZnAu
Source: the Alexandria database
Functional: PBE
Structure: relaxed

Cell and atoms, written as CIF:
```
data_AcPrZnAu
_cell_length_a 3.8465
_cell_length_b 3.8465
_cell_length_c 7.5357
_cell_angle_alpha 90.00
_cell_angle_beta 90.00
_cell_angle_gamma 90.00
_space_group_name_H-M_alt 'P 1'
_space_group_IT_number 1
loop_
_space_group_symop_operation_xyz
'x,y,z'
loop_
_atom_site_label
_atom_site_type_symbol
_atom_site_fract_x
_atom_site_fract_y
_atom_site_fract_z
Ac1 Ac 0.5000 0.5000 0.1059
Pr1 Pr 0.5000 0.5000 0.6059
Zn1 Zn 0.0000 0.0000 0.3758
Au1 Au 0.0000 0.0000 0.8403
```

---

Stability, highest: run ii

---

Run i
Compound: Ac4Pt3Au
Source: the Alexandria database
Functional: PBE
Structure: relaxed

Cell and atoms, written as CIF:
```
data_Ac4Pt3Au
_cell_length_a 4.4240
_cell_length_b 7.6859
_cell_length_c 7.6859
_cell_angle_alpha 70.66
_cell_angle_beta 90.04
_cell_angle_gamma 90.04
_space_group_name_H-M_alt 'P 1'
_space_group_IT_number 1
loop_
_space_group_symop_operation_xyz
'x,y,z'
loop_
_atom_site_label
_atom_site_type_symbol
_atom_site_fract_x
_atom_site_fract_y
_atom_site_fract_z
Ac1 Ac 0.0000 0.7612 0.7389
Ac2 Ac 0.4999 0.7552 0.2551
Ac3 Ac 0.0000 0.2392 0.2609
Ac4 Ac 0.5000 0.2449 0.7449
Au1 Au 0.5000 0.5002 0.9999
Pt1 Pt 0.5000 0.0002 0.4999
Pt2 Pt 0.9999 0.0001 0.0000
Pt3 Pt 0.9999 0.5001 0.5000
```

---

Run ii
Compound: Ac4Pt3Au
Source: the Alexandria database
Functional: PBE
Structure: relaxed

Cell and atoms, written as CIF:
```
data_Ac4Pt3Au
_cell_length_a 6.2671
_cell_length_b 6.2671
_cell_length_c 6.2671
_cell_angle_alpha 90.00
_cell_angle_beta 90.00
_cell_angle_gamma 90.00
_space_group_name_H-M_alt 'P 1'
_space_group_IT_number 1
loop_
_space_group_symop_operation_xyz
'x,y,z'
loop_
_atom_site_label
_atom_site_type_symbol
_atom_site_fract_x
_atom_site_fract_y
_atom_site_fract_z
Ac1 Ac 0.5000 0.0000 0.0000
Ac2 Ac 0.0000 0.5000 0.0000
Ac3 Ac 0.0000 0.0000 0.5000
Ac4 Ac 0.5000 0.5000 0.5000
Pt1 Pt 0.0000 0.5000 0.5000
Pt2 Pt 0.5000 0.0000 0.5000
Pt3 Pt 0.5000 0.5000 0.0000
Au1 Au 0.0000 0.0000 0.0000
```

---

Stability, highest: run i

---

Run i
Compound: Ac4PtAu2
Source: the Alexandria database
Functional: PBE
Structure: relaxed

Cell and atoms, written as CIF:
```
data_Ac4PtAu2
_cell_length_a 4.7908
_cell_length_b 6.5858
_cell_length_c 8.1904
_cell_angle_alpha 102.75
_cell_angle_beta 107.01
_cell_angle_gamma 90.00
_space_group_name_H-M_alt 'P 1'
_space_group_IT_number 1
loop_
_space_group_symop_operation_xyz
'x,y,z'
loop_
_atom_site_label
_atom_site_type_symbol
_atom_site_fract_x
_atom_site_fract_y
_atom_site_fract_z
Ac1 Ac 0.8427 0.1877 0.6855
Ac2 Ac 0.1573 0.8123 0.3145
Ac3 Ac 0.5860 0.2776 0.1721
Ac4 Ac 0.4140 0.7224 0.8279
Pt1 Pt 0.0000 0.0000 0.0000
Au1 Au 0.7669 0.6647 0.5338
Au2 Au 0.2331 0.3353 0.4662
```

---

Run ii
Compound: Ac4PtAu2
Source: the Alexandria database
Functional: PBE
Structure: relaxed

Cell and atoms, written as CIF:
```
data_Ac4PtAu2
_cell_length_a 5.8808
_cell_length_b 5.8808
_cell_length_c 8.6939
_cell_angle_alpha 109.77
_cell_angle_beta 109.77
_cell_angle_gamma 90.00
_space_group_name_H-M_alt 'P 1'
_space_group_IT_number 1
loop_
_space_group_symop_operation_xyz
'x,y,z'
loop_
_atom_site_label
_atom_site_type_symbol
_atom_site_fract_x
_atom_site_fract_y
_atom_site_fract_z
Ac1 Ac 0.8000 0.8000 0.6001
Ac2 Ac 0.2000 0.2000 0.3999
Ac3 Ac 0.0000 0.5000 0.0000
Ac4 Ac 0.5000 0.0000 0.0000
Au1 Au 0.6003 0.6003 0.2005
Au2 Au 0.3997 0.3997 0.7995
Pt1 Pt 0.0000 0.0000 0.0000
```

---

Stability, highest: run i

---

Run i
Compound: Ac3PtAu
Source: the Alexandria database
Functional: PBE
Structure: relaxed

Cell and atoms, written as CIF:
```
data_Ac3PtAu
_cell_length_a 4.3573
_cell_length_b 7.3968
_cell_length_c 11.3798
_cell_angle_alpha 90.00
_cell_angle_beta 90.00
_cell_angle_gamma 107.13
_space_group_name_H-M_alt 'P 1'
_space_group_IT_number 1
loop_
_space_group_symop_operation_xyz
'x,y,z'
loop_
_atom_site_label
_atom_site_type_symbol
_atom_site_fract_x
_atom_site_fract_y
_atom_site_fract_z
Ac1 Ac 0.0841 0.1682 0.7500
Ac2 Ac 0.9159 0.8318 0.2500
Ac3 Ac 0.3620 0.7241 0.5710
Ac4 Ac 0.6380 0.2759 0.4290
Ac5 Ac 0.6380 0.2759 0.0710
Ac6 Ac 0.3620 0.7241 0.9290
Pt1 Pt 0.0000 0.0000 0.5000
Pt2 Pt 0.0000 0.0000 0.0000
Au1 Au 0.2487 0.4973 0.2500
Au2 Au 0.7513 0.5027 0.7500
```

---

Run ii
Compound: Ac3PtAu
Source: the Alexandria database
Functional: PBE
Structure: relaxed

Cell and atoms, written as CIF:
```
data_Ac3PtAu
_cell_length_a 5.9415
_cell_length_b 7.5511
_cell_length_c 9.6665
_cell_angle_alpha 116.63
_cell_angle_beta 90.00
_cell_angle_gamma 113.17
_space_group_name_H-M_alt 'P 1'
_space_group_IT_number 1
loop_
_space_group_symop_operation_xyz
'x,y,z'
loop_
_atom_site_label
_atom_site_type_symbol
_atom_site_fract_x
_atom_site_fract_y
_atom_site_fract_z
Ac1 Ac 0.8847 0.7694 0.7679
Ac2 Ac 0.1153 0.2306 0.2321
Ac3 Ac 0.6102 0.2204 0.8715
Ac4 Ac 0.3898 0.7796 0.1285
Ac5 Ac 0.8340 0.6681 0.3614
Ac6 Ac 0.1659 0.3319 0.6386
Pt1 Pt 0.1339 0.2679 0.9311
Pt2 Pt 0.8661 0.7321 0.0689
Au1 Au 0.3647 0.7294 0.5431
Au2 Au 0.6353 0.2706 0.4569
```

---

Stability, highest: run i

---

Run i
Compound: Ac4PtAu3
Source: the Alexandria database
Functional: PBE
Structure: relaxed

Cell and atoms, written as CIF:
```
data_Ac4PtAu3
_cell_length_a 6.3913
_cell_length_b 6.3913
_cell_length_c 6.3913
_cell_angle_alpha 90.00
_cell_angle_beta 90.00
_cell_angle_gamma 90.00
_space_group_name_H-M_alt 'P 1'
_space_group_IT_number 1
loop_
_space_group_symop_operation_xyz
'x,y,z'
loop_
_atom_site_label
_atom_site_type_symbol
_atom_site_fract_x
_atom_site_fract_y
_atom_site_fract_z
Ac1 Ac 0.5000 0.0000 0.0000
Ac2 Ac 0.0000 0.5000 0.0000
Ac3 Ac 0.0000 0.0000 0.5000
Ac4 Ac 0.5000 0.5000 0.5000
Pt1 Pt 0.0000 0.0000 0.0000
Au1 Au 0.0000 0.5000 0.5000
Au2 Au 0.5000 0.0000 0.5000
Au3 Au 0.5000 0.5000 0.0000
```

---

Run ii
Compound: Ac4PtAu3
Source: the Alexandria database
Functional: PBE
Structure: relaxed

Cell and atoms, written as CIF:
```
data_Ac4PtAu3
_cell_length_a 7.7729
_cell_length_b 7.9386
_cell_length_c 8.9960
_cell_angle_alpha 90.00
_cell_angle_beta 90.00
_cell_angle_gamma 109.28
_space_group_name_H-M_alt 'P 1'
_space_group_IT_number 1
loop_
_space_group_symop_operation_xyz
'x,y,z'
loop_
_atom_site_label
_atom_site_type_symbol
_atom_site_fract_x
_atom_site_fract_y
_atom_site_fract_z
Ac1 Ac 0.9904 0.2421 0.6330
Ac2 Ac 0.5014 0.2346 0.8814
Ac3 Ac 0.4904 0.2421 0.3670
Ac4 Ac 0.0014 0.2346 0.1186
Ac5 Ac 0.9986 0.7654 0.8814
Ac6 Ac 0.5096 0.7579 0.6330
Ac7 Ac 0.4986 0.7654 0.1186
Ac8 Ac 0.0096 0.7579 0.3670
Au1 Au 0.7500 0.0000 0.3757
Au2 Au 0.2500 0.0000 0.6243
Au3 Au 0.7500 0.5000 0.6234
Au4 Au 0.7500 0.5000 0.1256
Au5 Au 0.2500 0.5000 0.3766
Au6 Au 0.2500 0.5000 0.8744
Pt1 Pt 0.7500 0.0000 0.8752
Pt2 Pt 0.2500 0.0000 0.1248
```

---

Stability, highest: run ii